<P>
The following is a DFT calculation (PBE) of an optimized crystal structure of CsTlHRhSBr.

The structure belongs to space group P1 (No. 1); the cell edges are 4.044, 6.454 and 7.527 Å and the angles 84.61°, 74.49° and 71.86°. The inequivalent atoms are Cs at (0.000, 0.000, 0.000), Tl at (0.005, 0.538, 0.452), H at (0.559, 0.203, 0.678), Rh at (0.726, 0.992, 0.555), S at (0.238, 0.080, 0.442) and Br at (0.666, 0.545, 0.121).

The total magnetization is 0.00 μB per formula unit.

<Q>
The following is a DFT calculation (PBE) of an optimized crystal structure of CsTlHRhSBr.

The structure belongs to space group Cm (No. 8); the cell edges are 15.399, 4.373 and 5.567 Å and the angles 90.00°, 91.64° and 90.00°. The inequivalent atoms are Cs at (0.000, 0.000, 0.000), Tl at (0.215, 0.000, 0.536), H at (0.364, 0.000, 0.218), Rh at (0.279, 0.000, 0.056), S at (0.265, 0.500, 0.030) and Br at (0.057, 0.500, 0.504).

The total magnetization is 0.00 μB per formula unit.

Least stable: <P>

<P>
The following is a DFT calculation (PBE) of an optimized crystal structure of CsHfBr3.

The structure belongs to space group Pm-3m (No. 221); the cell edges are 5.414, 5.414 and 5.414 Å and the angles 90.00°, 90.00° and 90.00°. The inequivalent atoms are Cs at (0.000, 0.000, 0.000), Hf at (0.500, 0.500, 0.500) and Br at (0.000, 0.500, 0.500).

The total magnetization is 0.53 μB per formula unit.

<Q>
The following is a DFT calculation (PBE) of an optimized crystal structure of CsHfBr3.

The structure belongs to space group Pm-3m (No. 221); the cell edges are 6.399, 6.399 and 6.399 Å and the angles 90.00°, 90.00° and 90.00°. The inequivalent atoms are Cs at (0.000, 0.000, 0.000), Hf at (0.500, 0.500, 0.500) and Br at (0.000, 0.000, 0.500).

The total magnetization is 2.42 μB per formula unit.

Least stable: <Q>

<P>
The following is a DFT calculation (PBE) of an optimized crystal structure of Cs2HfI6Br.

The structure belongs to space group P1 (No. 1); the cell edges are 8.372, 8.608 and 9.304 Å and the angles 87.95°, 63.41° and 61.30°. The inequivalent atoms are Cs at (0.000, 0.000, 0.000), Cs at (0.060, 0.415, 0.432), Hf at (0.526, 0.711, 0.197), I at (0.091, 0.914, 0.415), I at (0.496, 0.994, 0.022), I at (0.534, 0.515, 0.957), I at (0.563, 0.433, 0.380), I at (0.609, 0.877, 0.400), I at (0.977, 0.533, 0.022) and Br at (0.242, 0.206, 0.709).

The total magnetization is 0.01 μB per formula unit.

<Q>
The following is a DFT calculation (PBE) of an optimized crystal structure of Cs2HfI6Br.

The structure belongs to space group I4/mmm (No. 139); the cell edges are 9.294, 9.294 and 11.822 Å and the angles 90.00°, 90.00° and 90.00°. The inequivalent atoms are Cs at (0.000, 0.500, 0.250), Hf at (0.000, 0.000, 0.000), I at (0.000, 0.000, 0.244), I at (0.217, 0.217, 0.000) and Br at (0.000, 0.000, 0.500).

The total magnetization is 0.00 μB per formula unit.

Least stable: <Q>

<P>
The following is a DFT calculation (PBE) of an optimized crystal structure of Cs2HfIBr6.

The structure belongs to space group P-1 (No. 2); the cell edges are 7.327, 7.487 and 9.172 Å and the angles 100.21°, 113.42° and 103.91°. The inequivalent atoms are Cs at (0.012, 0.214, 0.265), Hf at (0.500, 0.500, 0.000), I at (0.500, 0.000, 0.500), Br at (0.146, 0.333, 0.719), Br at (0.297, 0.658, 0.135) and Br at (0.410, 0.201, 0.102).

The total magnetization is 1.02 μB per formula unit.

<Q>
The following is a DFT calculation (PBE) of an optimized crystal structure of Cs2HfIBr6.

The structure belongs to space group I4/mmm (No. 139); the cell edges are 8.555, 8.555 and 12.691 Å and the angles 90.00°, 90.00° and 90.00°. The inequivalent atoms are Cs at (0.000, 0.500, 0.250), Hf at (0.000, 0.000, 0.000), I at (0.000, 0.000, 0.500), Br at (0.000, 0.000, 0.206) and Br at (0.217, 0.217, 0.000).

The total magnetization is 1.00 μB per formula unit.

Least stable: <Q>

<P>
The following is a DFT calculation (PBE) of an optimized crystal structure of Cs2RbHfBr6.

The structure belongs to space group Fm-3m (No. 225); the cell edges are 11.874, 11.874 and 11.874 Å and the angles 90.00°, 90.00° and 90.00°. The inequivalent atoms are Cs at (0.250, 0.250, 0.250), Rb at (0.000, 0.000, 0.000), Hf at (0.000, 0.000, 0.500) and Br at (0.000, 0.000, 0.275).

The total magnetization is 1.00 μB per formula unit.

<Q>
The following is a DFT calculation (PBE) of an optimized crystal structure of Cs2RbHfBr6.

The structure belongs to space group R-3m (No. 166, hexagonal axes); the cell edges are 7.9699, 7.9699 and 48.4869 Å and the angles 90.00°, 90.00° and 120.00°. The inequivalent atoms are Cs at (0.0000, 0.0000, 0.1400), Cs at (0.0000, 0.0000, 0.3076), Rb at (0.0000, 0.0000, 0.4150), Hf at (0.0000, 0.0000, 0.0000), Hf at (0.0000, 0.0000, 0.5000), Br at (0.0126, 0.5063, 0.1348) and Br at (0.0175, 0.5087, 0.6991).

The total magnetization is 1.01 μB per formula unit.

Least stable: <P>

<P>
The following is a DFT calculation (PBE) of an optimized crystal structure of CsHfSe2Br.

The structure belongs to space group P4/mmm (No. 123); the cell edges are 5.251, 5.251 and 5.547 Å and the angles 90.00°, 90.00° and 90.00°. The inequivalent atoms are Cs at (0.000, 0.000, 0.000), Hf at (0.500, 0.500, 0.500), Se at (0.000, 0.500, 0.500) and Br at (0.500, 0.500, 0.000).

The total magnetization is 0.00 μB per formula unit.

<Q>
The following is a DFT calculation (PBE) of an optimized crystal structure of CsHfSe2Br.

The structure belongs to space group P4/mmm (No. 123); the cell edges are 5.679, 5.679 and 6.125 Å and the angles 90.00°, 90.00° and 90.00°. The inequivalent atoms are Cs at (0.000, 0.000, 0.000), Hf at (0.500, 0.500, 0.500), Se at (0.000, 0.500, 0.000) and Br at (0.000, 0.000, 0.500).

The total magnetization is 1.35 μB per formula unit.

Least stable: <Q>